Entry from the Alexandria database: a geometry-optimized ScAlFe2 structure (PBE).

Unit cell a=5.538 b=5.538 c=5.538 alpha=103.66 beta=103.66 gamma=121.86
Fractional coordinates of all 8 atoms:
Sc: 0.000 0.000 0.000
Sc: 0.750 0.250 0.500
Al: 0.250 0.750 0.500
Al: 0.500 0.500 0.000
Fe: 0.147 0.625 0.022
Fe: 0.375 0.397 0.522
Fe: 0.603 0.125 0.978
Fe: 0.875 0.853 0.478

DOS(E_F)   5.66 states/eV/cell
Magnetization   7.5 μB/cell
Total energy   -6.47 eV/atom

=====

Entry from the Alexandria database: a geometry-optimized ScAl2Fe structure (PBE).

Unit cell a=2.964 b=2.964 c=6.997 alpha=90.00 beta=90.00 gamma=90.00
Fractional coordinates of all 4 atoms:
Sc: 0.000 0.000 0.000
Al: 0.500 0.500 0.309
Al: 0.500 0.500 0.691
Fe: 0.000 0.000 0.500

DOS(E_F)   3.04 states/eV/cell
Magnetization   0.3 μB/cell
Total energy   -5.93 eV/atom